Compound: Dy4TmGa2
Source: the Alexandria database
Functional: GGA-PBE
Structure: optimized geometry

Summary:
- E (eV per atom) = -4.359
- symmetry = No. 1
- density of states at the Fermi level (states/eV per atom) = 1.12
- energy of formation (meV/atom) = -225
- crystal system = triclinic

Cell lengths 6.797, 7.203, 9.492 Å; angles 90.11, 108.29, 117.54 degrees
Positions (direct):
Dy 0.000 0.000 0.000
Dy 0.024 0.497 0.475
Dy 0.330 0.940 0.783
Dy 0.371 0.965 0.378
Dy 0.422 0.452 0.311
Dy 0.474 0.493 0.895
Dy 0.837 0.227 0.726
Dy 0.904 0.957 0.456
Tm 0.113 0.605 0.032
Tm 0.680 0.166 0.138
Ga 0.394 0.298 0.596
Ga 0.538 0.759 0.629
Ga 0.839 0.637 0.708
Ga 0.849 0.665 0.200

---

Compound: Dy2TmGa3
Source: the Alexandria database
Functional: GGA-PBE
Structure: optimized geometry

Summary:
- E (eV per atom) = -4.143
- symmetry = No. 71
- density of states at the Fermi level (states/eV per atom) = 1.09
- energy of formation (meV/atom) = -350
- crystal system = orthorhombic

Cell lengths 7.996, 7.996, 7.996 Å; angles 154.55, 136.56, 51.02 degrees
Positions (direct):
Dy 0.167 0.167 0.000
Dy 0.833 0.833 0.000
Tm 0.500 0.500 0.000
Ga 0.000 0.500 0.500
Ga 0.335 0.835 0.500
Ga 0.665 0.165 0.500